No. 1
Material: LiInMo2
Method: DFT, PBE
State: relaxed

POSCAR file:
```
LiInMo2
1.0
-2.904 1.544 0.210
-1.542 -2.786 -0.848
-0.417 -1.608 6.044
In Li Mo
1 1 2
direct
0.000 0.000 0.519
0.500 0.500 0.753
0.000 0.000 0.022
0.500 0.500 0.205
```


No. 2
Material: LiInMo2
Method: DFT, PBE
State: relaxed

POSCAR file:
```
LiInMo2
1.0
2.870 0.003 0.000
-1.023 2.682 0.000
0.000 0.000 9.146
In Li Mo
1 1 2
direct
0.000 0.000 0.501
0.500 0.500 0.759
0.000 0.000 0.011
0.500 0.500 0.229
```


No. 3
Material: LiInMo
Method: DFT, PBE
State: relaxed

POSCAR file:
```
LiInMo
1.0
7.066 0.020 0.000
5.949 3.814 0.000
-6.508 -1.917 1.978
In Li Mo
1 1 1
direct
0.000 0.000 0.000
0.333 0.333 0.000
0.668 0.668 0.000
```

Computed properties:
Polymorph energy (0 for the lowest one) (meV/atom): 0


What calculated density values result from the calculations? In sequence: 7.7, 7.4, 6.8 g cm⁻³.
What energy of formation from the pure elements values result from the calculations? In sequence: 0.158, 0.231, 0.311 eV/atom.